VASP calculation (PBE with a Hubbard U) on a relaxed structure of K2NiBO4.

## Properties
Its density of states at the Fermi level is 21.51 states/eV per cell. As for the total energy: -0.199 hartree per atom.

The structure in CIF format:
```
data_K2NiBO4
_chemical_formula_sum 'K16 Ni8 B8 O32'
_space_group_name_H-M_alt 'F d d d'
_space_group_IT_number 70
_cell_length_a 4.770
_cell_length_b 10.942
_cell_length_c 19.438
_cell_angle_alpha 90.00
_cell_angle_beta 90.00
_cell_angle_gamma 90.00
loop_
_space_group_symop_operation_xyz
'x,y,z'
'-x,-y,-z'
'-x+1/4,-y+1/4,z'
'x+1/4,y+1/4,-z'
'x,-y+1/4,-z+1/4'
'-x,y+1/4,z+1/4'
'-x+1/4,y,-z+1/4'
'x+1/4,-y,z+1/4'
'x,y+1/2,z+1/2'
'-x,-y+1/2,-z+1/2'
'-x+1/4,-y+3/4,z+1/2'
'x+1/4,y+3/4,-z+1/2'
'x,-y+3/4,-z+3/4'
'-x,y+3/4,z+3/4'
'-x+1/4,y+1/2,-z+3/4'
'x+1/4,-y+1/2,z+3/4'
'x+1/2,y,z+1/2'
'-x+1/2,-y,-z+1/2'
'-x+3/4,-y+1/4,z+1/2'
'x+3/4,y+1/4,-z+1/2'
'x+1/2,-y+1/4,-z+3/4'
'-x+1/2,y+1/4,z+3/4'
'-x+3/4,y,-z+3/4'
'x+3/4,-y,z+3/4'
'x+1/2,y+1/2,z'
'-x+1/2,-y+1/2,-z'
'-x+3/4,-y+3/4,z'
'x+3/4,y+3/4,-z'
'x+1/2,-y+3/4,-z+1/4'
'-x+1/2,y+3/4,z+1/4'
'-x+3/4,y+1/2,-z+1/4'
'x+3/4,-y+1/2,z+1/4'
loop_
_atom_site_label
_atom_site_type_symbol
_atom_site_fract_x
_atom_site_fract_y
_atom_site_fract_z
K1 K 0.125 0.125 0.300
Ni1 Ni 0.125 0.125 0.125
B1 B 0.125 0.125 0.625
O1 O 0.070 0.298 0.834
```